Entry one
Compound: LiLa2Y
Source: Alexandria via LeMat-Bulk
Functional: meta-GGA SCAN
Structure: PBEsol geometry

a = 3.532 Å, b = 3.532 Å, c = 11.509 Å
α = 81.17°, β = 81.17°, γ = 60.00°
Element x y z (fractional)
Li: 0.502 0.502 0.494
La: 0.752 0.752 0.744
La: 0.999 0.999 0.004
Y: 0.247 0.247 0.258

density of states at the Fermi level = 4.47 states/eV per cell
V = 30.6 Å³ per atom
SG = R3m, No. 160

=====

Entry two
Compound: LiLa2Y
Source: Alexandria via LeMat-Bulk
Functional: meta-GGA SCAN
Structure: PBEsol geometry

a = 3.640 Å, b = 5.623 Å, c = 6.685 Å
α = 114.87°, β = 105.80°, γ = 90.00°
Element x y z (fractional)
La: 0.224 0.224 0.447
La: 0.776 0.776 0.553
Y: 0.000 0.500 0.000
Li: 0.500 0.000 0.000

density of states at the Fermi level = 3.80 states/eV per cell
V = 29.6 Å³ per atom
SG = Immm, No. 71

=====

Quick one: least stable of them? entry one

=====

Entry one
Compound: LiLa2Y
Source: Alexandria via LeMat-Bulk
Functional: meta-GGA SCAN
Structure: PBEsol geometry

a = 3.538 Å, b = 3.538 Å, c = 11.623 Å
α = 81.24°, β = 81.24°, γ = 60.00°
Element x y z (fractional)
La: 0.249 0.249 0.253
La: 0.751 0.751 0.747
Li: 0.500 0.500 0.500
Y: 0.000 0.000 0.000

density of states at the Fermi level = 3.74 states/eV per cell
V = 31.0 Å³ per atom
SG = R-3m, No. 166

=====

Entry two
Compound: LiLa2Y
Source: Alexandria via LeMat-Bulk
Functional: meta-GGA SCAN
Structure: PBEsol geometry

a = 3.510 Å, b = 5.512 Å, c = 6.563 Å
α = 90.00°, β = 110.28°, γ = 90.00°
Element x y z (fractional)
Y: 0.500 0.500 0.500
Li: 0.500 0.500 0.000
La: 0.083 0.000 0.772
La: 0.917 0.000 0.228

density of states at the Fermi level = 4.49 states/eV per cell
V = 29.8 Å³ per atom
SG = P2/m, No. 10

=====

Entry three
Compound: LiLa2Y
Source: Alexandria via LeMat-Bulk
Functional: meta-GGA SCAN
Structure: PBEsol geometry

a = 3.530 Å, b = 3.530 Å, c = 9.772 Å
α = 90.00°, β = 90.00°, γ = 90.00°
Element x y z (fractional)
La: 0.000 0.000 0.239
La: 0.000 0.000 0.761
Y: 0.500 0.500 0.500
Li: 0.500 0.500 0.000

density of states at the Fermi level = 5.45 states/eV per cell
V = 30.4 Å³ per atom
SG = P4/mmm, No. 123

=====

Quick one: least stable of them? entry two

=====

Entry one
Compound: LiLa2Y
Source: Alexandria via LeMat-Bulk
Functional: meta-GGA SCAN
Structure: PBEsol geometry

a = 3.636 Å, b = 3.636 Å, c = 8.975 Å
α = 90.00°, β = 90.00°, γ = 90.00°
Element x y z (fractional)
Li: 0.000 0.000 0.510
Y: 0.500 0.500 0.724
La: 0.000 0.000 0.994
La: 0.500 0.500 0.272

density of states at the Fermi level = 4.59 states/eV per cell
V = 29.7 Å³ per atom
SG = P4mm, No. 99

=====

Entry two
Compound: LiLa2Y
Source: Alexandria via LeMat-Bulk
Functional: meta-GGA SCAN
Structure: PBEsol geometry

a = 3.743 Å, b = 5.661 Å, c = 6.587 Å
α = 115.45°, β = 106.50°, γ = 89.99°
Element x y z (fractional)
Y: 0.227 0.227 0.454
La: 0.000 0.500 0.000
La: 0.770 0.770 0.540
Li: 0.503 0.003 0.007

density of states at the Fermi level = 4.86 states/eV per cell
V = 29.9 Å³ per atom
SG = Imm2, No. 44

=====

Quick one: least stable of them? entry two

=====

Entry one
Compound: LiLaZn
Source: Alexandria via LeMat-Bulk
Functional: meta-GGA SCAN
Structure: PBEsol geometry

a = 3.294 Å, b = 4.830 Å, c = 4.830 Å
α = 120.00°, β = 90.00°, γ = 90.00°
Element x y z (fractional)
Zn: 0.000 0.667 0.333
Li: 0.000 0.333 0.667
La: 0.500 0.000 0.000

density of states at the Fermi level = 1.81 states/eV per cell
V = 22.2 Å³ per atom
SG = P-6m2, No. 187

=====

Entry two
Compound: LiLaZn
Source: Alexandria via LeMat-Bulk
Functional: meta-GGA SCAN
Structure: PBEsol geometry

a = 3.689 Å, b = 3.689 Å, c = 5.614 Å
α = 109.18°, β = 109.18°, γ = 90.00°
Element x y z (fractional)
Zn: 0.315 0.315 0.630
Li: 0.694 0.694 0.387
La: 0.992 0.992 0.983

density of states at the Fermi level = 1.61 states/eV per cell
V = 22.5 Å³ per atom
SG = I4mm, No. 107

=====

Quick one: least stable of them? entry two

=====

Entry one
Compound: Li2LaZn2
Source: Alexandria via LeMat-Bulk
Functional: meta-GGA SCAN
Structure: PBEsol geometry

a = 2.944 Å, b = 7.947 Å, c = 7.947 Å
α = 90.00°, β = 90.00°, γ = 90.00°
Element x y z (fractional)
Li: 0.000 0.884 0.616
Li: 0.000 0.616 0.116
Li: 0.000 0.116 0.384
Li: 0.000 0.384 0.884
La: 0.000 0.000 0.000
La: 0.000 0.500 0.500
Zn: 0.500 0.678 0.822
Zn: 0.500 0.822 0.322
Zn: 0.500 0.178 0.678
Zn: 0.500 0.322 0.178

density of states at the Fermi level = 4.80 states/eV per cell
V = 18.6 Å³ per atom
SG = P4/mbm, No. 127

=====

Entry two
Compound: Li2LaZn2
Source: Alexandria via LeMat-Bulk
Functional: meta-GGA SCAN
Structure: PBEsol geometry

a = 3.958 Å, b = 3.958 Å, c = 7.091 Å
α = 106.21°, β = 106.21°, γ = 90.00°
Element x y z (fractional)
La: 0.000 0.000 0.000
Zn: 0.607 0.607 0.214
Zn: 0.393 0.393 0.786
Li: 0.250 0.750 0.500
Li: 0.750 0.250 0.500

density of states at the Fermi level = 2.80 states/eV per cell
V = 20.4 Å³ per atom
SG = I4/mmm, No. 139

=====

Quick one: least stable of them? entry one

=====

Entry one
Compound: La2Mg
Source: Alexandria via LeMat-Bulk
Functional: meta-GGA SCAN
Structure: PBEsol geometry

a = 5.577 Å, b = 5.577 Å, c = 7.100 Å
α = 90.00°, β = 90.00°, γ = 120.00°
Element x y z (fractional)
Mg: 0.667 0.333 0.250
Mg: 0.333 0.667 0.750
La: 0.000 0.000 0.000
La: 0.333 0.667 0.250
La: 0.000 0.000 0.500
La: 0.667 0.333 0.750

density of states at the Fermi level = 7.66 states/eV per cell
V = 31.9 Å³ per atom
SG = P6_3/mmc, No. 194

=====

Entry two
Compound: La2Mg
Source: Alexandria via LeMat-Bulk
Functional: meta-GGA SCAN
Structure: PBEsol geometry

a = 6.084 Å, b = 6.084 Å, c = 6.585 Å
α = 63.51°, β = 63.51°, γ = 61.47°
Element x y z (fractional)
La: 0.244 0.419 0.752
La: 0.419 0.244 0.252
La: 0.756 0.581 0.248
La: 0.581 0.756 0.748
Mg: 0.083 0.917 0.250
Mg: 0.917 0.083 0.750

density of states at the Fermi level = 6.80 states/eV per cell
V = 30.5 Å³ per atom
SG = C2/c, No. 15

=====

Entry three
Compound: La2Mg
Source: Alexandria via LeMat-Bulk
Functional: meta-GGA SCAN
Structure: PBEsol geometry

a = 5.522 Å, b = 6.915 Å, c = 10.035 Å
α = 90.00°, β = 90.00°, γ = 90.00°
Element x y z (fractional)
Mg: 0.750 0.799 0.096
Mg: 0.750 0.299 0.404
Mg: 0.250 0.701 0.596
Mg: 0.250 0.201 0.904
La: 0.250 0.516 0.287
La: 0.250 0.184 0.576
La: 0.750 0.484 0.713
La: 0.250 0.684 0.924
La: 0.750 0.316 0.076
La: 0.750 0.816 0.424
La: 0.750 0.984 0.787
La: 0.250 0.016 0.213

density of states at the Fermi level = 12.07 states/eV per cell
V = 31.9 Å³ per atom
SG = Pnma, No. 62

=====

Entry four
Compound: La2Mg
Source: Alexandria via LeMat-Bulk
Functional: meta-GGA SCAN
Structure: PBEsol geometry

a = 5.431 Å, b = 6.494 Å, c = 6.494 Å
α = 79.93°, β = 65.28°, γ = 65.28°
Element x y z (fractional)
La: 0.649 0.202 0.500
La: 0.351 0.798 0.500
La: 0.149 0.500 0.202
La: 0.851 0.500 0.798
Mg: 0.750 0.000 0.000
Mg: 0.250 0.000 0.000

density of states at the Fermi level = 6.88 states/eV per cell
V = 31.5 Å³ per atom
SG = I4/mcm, No. 140

=====

Quick one: least stable of them? entry four

=====

Entry one
Compound: LaMg
Source: Alexandria via LeMat-Bulk
Functional: meta-GGA SCAN
Structure: PBEsol geometry

a = 3.790 Å, b = 5.596 Å, c = 6.464 Å
α = 115.65°, β = 107.05°, γ = 90.00°
Element x y z (fractional)
La: 0.619 0.369 0.238
La: 0.381 0.631 0.762
Mg: 0.145 0.895 0.290
Mg: 0.855 0.105 0.710

density of states at the Fermi level = 3.28 states/eV per cell
V = 29.2 Å³ per atom
SG = Imma, No. 74

=====

Entry two
Compound: LaMg
Source: Alexandria via LeMat-Bulk
Functional: meta-GGA SCAN
Structure: PBEsol geometry

a = 3.667 Å, b = 6.672 Å, c = 7.619 Å
α = 106.84°, β = 90.00°, γ = 105.95°
Element x y z (fractional)
La: 0.015 0.029 0.041
La: 0.360 0.719 0.245
La: 0.366 0.731 0.701
Mg: 0.695 0.390 0.885
Mg: 0.057 0.113 0.576
Mg: 0.675 0.349 0.384

density of states at the Fermi level = 4.89 states/eV per cell
V = 28.5 Å³ per atom
SG = Cm, No. 8

=====

Quick one: least stable of them? entry two

=====

Entry one
Compound: LaMgMo
Source: Alexandria via LeMat-Bulk
Functional: meta-GGA SCAN
Structure: PBEsol geometry

a = 3.057 Å, b = 3.057 Å, c = 7.742 Å
α = 97.23°, β = 97.23°, γ = 111.28°
Element x y z (fractional)
Mg: 0.687 0.687 0.374
Mo: 0.333 0.333 0.666
La: 0.980 0.980 0.960

density of states at the Fermi level = 3.00 states/eV per cell
V = 21.9 Å³ per atom
SG = Fmm2, No. 42

=====

Entry two
Compound: LaMgMo
Source: Alexandria via LeMat-Bulk
Functional: meta-GGA SCAN
Structure: PBEsol geometry

a = 4.702 Å, b = 4.702 Å, c = 4.702 Å
α = 60.00°, β = 60.00°, γ = 60.00°
Element x y z (fractional)
Mg: 0.500 0.500 0.500
La: 0.000 0.000 0.000
Mo: 0.250 0.250 0.250

density of states at the Fermi level = 4.01 states/eV per cell
V = 24.5 Å³ per atom
SG = F-43m, No. 216

=====

Quick one: least stable of them? entry two